[1]
Lu2S3 | SCAN | PBEsol geometry Values from VASP.

Geometry as Quantum ESPRESSO input:
```
&SYSTEM
  ibrav = 0, nat = 30, ntyp = 2
/
ATOMIC_SPECIES
Lu 174.97 Lu.upf
S 32.06 S.upf
CELL_PARAMETERS angstrom
6.6536 0.0000 0.0000
-3.3268 5.7622 0.0000
0.0000 0.0000 18.1575
ATOMIC_POSITIONS crystal
Lu 0.3333 0.6667 0.2072
Lu 0.3333 0.6667 0.5095
Lu 0.0000 0.0000 0.3432
S 0.3380 0.3380 0.2759
S 0.0000 0.3380 0.7759
S 0.0000 0.6620 0.2759
Lu 0.6667 0.3333 0.7072
S 0.3018 0.0000 0.4472
S 0.0000 0.3018 0.4472
S 0.3018 0.3018 0.9472
Lu 0.6667 0.3333 0.2072
Lu 0.6667 0.3333 0.5095
Lu 0.0000 0.0000 0.5449
S 0.6982 0.6982 0.4472
S 0.0000 0.6982 0.9472
Lu 0.0000 0.0000 0.0449
S 0.6620 0.0000 0.2759
S 0.0000 0.6319 0.6054
S 0.6319 0.6319 0.1054
Lu 0.6667 0.3333 0.0095
S 0.6620 0.6620 0.7759
Lu 0.0000 0.0000 0.8432
S 0.3681 0.0000 0.1054
Lu 0.3333 0.6667 0.0095
S 0.3380 0.0000 0.7759
Lu 0.3333 0.6667 0.7072
S 0.3681 0.3681 0.6054
S 0.6319 0.0000 0.6054
S 0.6982 0.0000 0.9472
S 0.0000 0.3681 0.1054
```

As for the density of states at the Fermi level: 0.00 states/eV/f.u. As for the space group: P6_3cm, No. 185. Its uncorrected formation energy is -2.2898 eV/atom.



[2]
SnIrIO2 | SCAN | PBEsol geometry Values from VASP.

Geometry as Quantum ESPRESSO input:
```
&SYSTEM
  ibrav = 0, nat = 5, ntyp = 4
/
ATOMIC_SPECIES
O 16.00 O.upf
Ir 192.22 Ir.upf
I 126.90 I.upf
Sn 118.71 Sn.upf
CELL_PARAMETERS angstrom
-3.8022 1.5200 0.3497
-1.2109 -3.4574 1.8628
1.2733 2.0985 4.7226
ATOMIC_POSITIONS crystal
O 0.0000 0.5000 0.0000
Ir 0.0000 0.0000 0.0000
O 0.5000 0.0000 0.0000
I 0.0000 0.0000 0.5000
Sn 0.5000 0.5000 0.5000
```

As for the density of states at the Fermi level: 2.56 states/eV/f.u. As for the space group: P4/mmm, No. 123. Its uncorrected formation energy is 0.1660 eV/atom.